## one
Density functional theory data (PBE) for a relaxed structure of SiTe2Br.

Cell lengths 7.5923, 7.5923, 7.0122 Å; angles 57.22, 57.22, 90.00 degrees
Atoms (fractional coordinates):
Te: 0.8750 0.8046 0.7500
Te: 0.5546 0.1250 0.2500
Te: 0.3750 0.4454 0.7500
Te: 0.1954 0.6250 0.2500
Br: 0.7500 0.2500 0.5000
Br: 0.0000 0.0000 0.0000
Si: 0.5000 0.5000 0.0000
Si: 0.2500 0.7500 0.5000

* SG: I-42d
* crystal system: tetragonal
* size of the total moment: 0.00 μB per cell

## two
Density functional theory data (PBE) for a relaxed structure of SiTe2Br.

Cell lengths 5.2430, 5.2430, 5.2430 Å; angles 120.17, 120.17, 89.70 degrees
Atoms (fractional coordinates):
Te: 0.2500 0.7500 0.5000
Te: 0.0000 0.0000 0.0000
Si: 0.7500 0.2500 0.5000
Br: 0.5000 0.5000 0.0000

* SG: I-4m2
* crystal system: tetragonal
* size of the total moment: 0.00 μB per cell

Short version: two is the least stable of them.

## one
Density functional theory data (PBE) for a relaxed structure of SiTe3Br.

Cell lengths 5.5459, 7.6816, 7.9396 Å; angles 89.99, 89.92, 90.01 degrees
Atoms (fractional coordinates):
Si: 0.6907 0.6859 0.2008
Si: 0.1907 0.6669 0.7008
Br: 0.4904 0.4273 0.7009
Br: 0.9905 0.9255 0.2008
Te: 0.4438 0.8718 0.4583
Te: 0.9437 0.4810 0.9583
Te: 0.9447 0.4816 0.4435
Te: 0.4447 0.8711 0.9435
Te: 0.8086 0.9313 0.7004
Te: 0.3085 0.4214 0.2005

* SG: Pc
* crystal system: monoclinic
* size of the total moment: 0.00 μB per cell

## two
Density functional theory data (PBE) for a relaxed structure of SiTe3Br.

Cell lengths 5.3000, 5.3000, 5.3000 Å; angles 90.00, 90.00, 90.00 degrees
Atoms (fractional coordinates):
Te: 0.0000 0.5000 0.0000
Te: 0.5000 0.0000 0.0000
Te: 0.0000 0.0000 0.5000
Si: 0.0000 0.0000 0.0000
Br: 0.5000 0.5000 0.5000

* SG: Pm-3m
* crystal system: cubic
* size of the total moment: 0.00 μB per cell

## three
Density functional theory data (PBE) for a relaxed structure of SiTe3Br.

Cell lengths 5.5467, 5.5467, 5.5467 Å; angles 90.00, 90.00, 90.00 degrees
Atoms (fractional coordinates):
Si: 0.5000 0.5000 0.5000
Te: 0.5000 0.0000 0.0000
Te: 0.0000 0.0000 0.5000
Te: 0.0000 0.5000 0.0000
Br: 0.0000 0.0000 0.0000

* SG: Pm-3m
* crystal system: cubic
* size of the total moment: 0.00 μB per cell

Short version: three is the least stable of them.

## one
Density functional theory data (PBE) for a relaxed structure of Si2TeBr.

Cell lengths 4.9622, 4.9622, 4.9622 Å; angles 60.00, 60.00, 60.00 degrees
Atoms (fractional coordinates):
Te: 0.7500 0.7500 0.7500
Si: 0.2500 0.2500 0.2500
Si: 0.0000 0.0000 0.0000
Br: 0.5000 0.5000 0.5000

* SG: F-43m
* crystal system: cubic
* size of the total moment: 0.00 μB per cell

## two
Density functional theory data (PBE) for a relaxed structure of Si2TeBr.

Cell lengths 3.7168, 5.3302, 5.8827 Å; angles 94.41, 90.00, 90.00 degrees
Atoms (fractional coordinates):
Si: 0.0000 0.6007 0.3989
Si: 0.0000 0.8993 0.1011
Br: 0.5000 0.7500 0.7500
Te: 0.5000 0.2500 0.2500

* SG: P2/m
* crystal system: monoclinic
* size of the total moment: 0.00 μB per cell

Short version: one is the least stable of them.

## one
Density functional theory data (PBE) for a relaxed structure of SiTeBr3.

Cell lengths 5.3317, 5.3317, 5.3317 Å; angles 90.00, 90.00, 90.00 degrees
Atoms (fractional coordinates):
Br: 0.0000 0.5000 0.0000
Br: 0.0000 0.0000 0.5000
Br: 0.5000 0.0000 0.0000
Si: 0.0000 0.0000 0.0000
Te: 0.5000 0.5000 0.5000

* SG: Pm-3m
* crystal system: cubic
* size of the total moment: 2.78 μB per cell

## two
Density functional theory data (PBE) for a relaxed structure of SiTeBr3.

Cell lengths 5.6794, 5.6794, 5.6794 Å; angles 90.00, 90.00, 90.00 degrees
Atoms (fractional coordinates):
Br: 0.0000 0.5000 0.0000
Br: 0.5000 0.0000 0.0000
Br: 0.0000 0.0000 0.5000
Si: 0.5000 0.5000 0.5000
Te: 0.0000 0.0000 0.0000

* SG: Pm-3m
* crystal system: cubic
* size of the total moment: 1.31 μB per cell

Short version: two is the least stable of them.

## one
Density functional theory data (PBE) for a relaxed structure of TiSi2Br2.

Cell lengths 4.4367, 4.4367, 6.6375 Å; angles 70.48, 70.48, 90.00 degrees
Atoms (fractional coordinates):
Br: 0.2500 0.7500 0.5000
Br: 0.7500 0.2500 0.5000
Ti: 0.0000 0.0000 0.0000
Si: 0.5965 0.5965 0.8069
Si: 0.4035 0.4035 0.1931

* SG: I4/mmm
* crystal system: tetragonal
* size of the total moment: 0.02 μB per cell

## two
Density functional theory data (PBE) for a relaxed structure of TiSi2Br2.

Cell lengths 6.7643, 6.7643, 5.0829 Å; angles 90.00, 90.00, 90.00 degrees
Atoms (fractional coordinates):
Si: 0.6267 0.1267 0.0000
Si: 0.8733 0.6267 0.0000
Si: 0.1267 0.3733 0.0000
Si: 0.3733 0.8733 0.0000
Br: 0.1920 0.3080 0.5000
Br: 0.6920 0.1920 0.5000
Br: 0.3080 0.8080 0.5000
Br: 0.8080 0.6920 0.5000
Ti: 0.5000 0.5000 0.0000
Ti: 0.0000 0.0000 0.0000

* SG: P4/mbm
* crystal system: tetragonal
* size of the total moment: 1.50 μB per cell

Short version: one is the least stable of them.

## one
Density functional theory data (PBE) for a relaxed structure of TlSi2Br.

Cell lengths 3.8915, 5.3793, 5.5647 Å; angles 58.79, 90.00, 90.00 degrees
Atoms (fractional coordinates):
Br: 0.5000 0.7419 0.7740
Si: 0.0000 0.0611 0.0771
Si: 0.5000 0.2551 0.1733
Tl: 0.0000 0.4420 0.4755

* SG: Pm
* crystal system: monoclinic
* size of the total moment: 0.00 μB per cell

## two
Density functional theory data (PBE) for a relaxed structure of TlSi2Br.

Cell lengths 3.4815, 3.4815, 8.5873 Å; angles 90.00, 90.00, 110.40 degrees
Atoms (fractional coordinates):
Tl: 0.0000 0.0000 0.4936
Br: 0.5000 0.5000 0.7721
Si: 0.5000 0.5000 0.1918
Si: 0.0000 0.0000 0.0426

* SG: Cmm2
* crystal system: orthorhombic
* size of the total moment: 0.00 μB per cell

## three
Density functional theory data (PBE) for a relaxed structure of TlSi2Br.

Cell lengths 5.6644, 3.8753, 5.1766 Å; angles 90.43, 90.00, 90.00 degrees
Atoms (fractional coordinates):
Si: 0.0000 0.0022 0.1233
Si: 0.0000 0.4978 0.3767
Br: 0.5000 0.7500 0.7500
Tl: 0.5000 0.2500 0.2500

* SG: P2/m
* crystal system: monoclinic
* size of the total moment: 0.00 μB per cell

Short version: three is the least stable of them.

## one
Density functional theory data (PBE) for a relaxed structure of TlSi2Br.

Cell lengths 6.2572, 6.2572, 6.4166 Å; angles 61.99, 61.99, 35.44 degrees
Atoms (fractional coordinates):
Br: 0.2500 0.2500 0.2500
Si: 0.4402 0.4402 0.3507
Si: 0.0598 0.0598 0.1493
Tl: 0.7500 0.7500 0.7500

* SG: C2/m
* crystal system: monoclinic
* size of the total moment: 0.00 μB per cell

## two
Density functional theory data (PBE) for a relaxed structure of TlSi2Br.

Cell lengths 5.0472, 5.0472, 5.0472 Å; angles 60.00, 60.00, 60.00 degrees
Atoms (fractional coordinates):
Br: 0.5000 0.5000 0.5000
Si: 0.0000 0.0000 0.0000
Si: 0.7500 0.7500 0.7500
Tl: 0.2500 0.2500 0.2500

* SG: F-43m
* crystal system: cubic
* size of the total moment: 0.00 μB per cell

Short version: two is the least stable of them.

## one
Density functional theory data (PBE) for a relaxed structure of TlSi2Br.

Cell lengths 4.2320, 6.2411, 4.2329 Å; angles 71.19, 87.19, 108.81 degrees
Atoms (fractional coordinates):
Br: 0.5000 0.5000 0.0000
Si: 0.0000 0.0000 0.0000
Si: 0.5000 0.0000 0.5000
Tl: 0.0000 0.5000 0.5000

* SG: Fmmm
* crystal system: orthorhombic
* size of the total moment: 0.00 μB per cell

## two
Density functional theory data (PBE) for a relaxed structure of TlSi2Br.

Cell lengths 3.2429, 4.6275, 6.6351 Å; angles 90.00, 90.00, 90.00 degrees
Atoms (fractional coordinates):
Si: 0.0000 0.0000 0.5697
Si: 0.0000 0.0000 0.9303
Br: 0.5000 0.5000 0.7500
Tl: 0.5000 0.5000 0.2500

* SG: Pmmm
* crystal system: orthorhombic
* size of the total moment: 0.00 μB per cell

Short version: two is the least stable of them.